*a*
PmNd2O | PBE | relaxed

The structure in CIF format:
```
data_PmNd2O
_cell_length_a 3.637
_cell_length_b 3.637
_cell_length_c 9.803
_cell_angle_alpha 79.31
_cell_angle_beta 79.31
_cell_angle_gamma 60.00
_space_group_name_H-M_alt 'P 1'
_space_group_IT_number 1
loop_
_space_group_symop_operation_xyz
'x,y,z'
loop_
_atom_site_label
_atom_site_fract_x
_atom_site_fract_y
_atom_site_fract_z
Nd1 0.119 0.119 0.642
Nd2 0.881 0.881 0.358
O1 0.500 0.500 0.500
Pm1 0.000 0.000 0.000
```

Computed properties:
- space-group type = R-3m



*b*
PmNd2O | PBE | relaxed

The structure in CIF format:
```
data_PmNd2O
_cell_length_a 3.260
_cell_length_b 3.260
_cell_length_c 9.276
_cell_angle_alpha 90.00
_cell_angle_beta 90.00
_cell_angle_gamma 90.00
_space_group_name_H-M_alt 'P 1'
_space_group_IT_number 1
loop_
_space_group_symop_operation_xyz
'x,y,z'
loop_
_atom_site_label
_atom_site_fract_x
_atom_site_fract_y
_atom_site_fract_z
Nd1 0.000 0.000 0.831
Nd2 0.000 0.000 0.169
O1 0.500 0.500 0.000
Pm1 0.500 0.500 0.500
```

Computed properties:
- space-group type = P4/mmm



Stability ranking, top entry: *a*; the second entry is 32.2 kJ/mol of atoms less favorable.



*a*
PrNdO2 | PBE | relaxed

The structure in CIF format:
```
data_PrNdO2
_cell_length_a 6.220
_cell_length_b 6.220
_cell_length_c 6.220
_cell_angle_alpha 131.86
_cell_angle_beta 131.86
_cell_angle_gamma 70.46
_space_group_name_H-M_alt 'P 1'
_space_group_IT_number 1
loop_
_space_group_symop_operation_xyz
'x,y,z'
loop_
_atom_site_label
_atom_site_fract_x
_atom_site_fract_y
_atom_site_fract_z
Pr1 0.750 0.250 0.500
Pr2 0.000 0.000 0.000
Nd1 0.500 0.500 0.000
Nd2 0.250 0.750 0.500
O1 0.498 0.998 0.500
O2 0.252 0.252 0.000
O3 0.748 0.748 0.000
O4 0.002 0.502 0.500
```

Computed properties:
- space-group type = I4_1/amd



*b*
PrNdO2 | PBE | relaxed

The structure in CIF format:
```
data_PrNdO2
_cell_length_a 3.553
_cell_length_b 3.553
_cell_length_c 6.448
_cell_angle_alpha 74.01
_cell_angle_beta 74.01
_cell_angle_gamma 60.00
_space_group_name_H-M_alt 'P 1'
_space_group_IT_number 1
loop_
_space_group_symop_operation_xyz
'x,y,z'
loop_
_atom_site_label
_atom_site_fract_x
_atom_site_fract_y
_atom_site_fract_z
Pr1 0.495 0.495 0.515
Nd1 0.672 0.672 0.983
O1 0.080 0.080 0.761
O2 0.253 0.253 0.241
```

Computed properties:
- space-group type = R3m



Stability ranking, top entry: *a*; the second entry is 9.8 kJ/mol of atoms less favorable.



*a*
PrNdO | PBE | relaxed

The structure in CIF format:
```
data_PrNdO
_cell_length_a 3.720
_cell_length_b 3.720
_cell_length_c 6.104
_cell_angle_alpha 90.00
_cell_angle_beta 90.00
_cell_angle_gamma 120.00
_space_group_name_H-M_alt 'P 1'
_space_group_IT_number 1
loop_
_space_group_symop_operation_xyz
'x,y,z'
loop_
_atom_site_label
_atom_site_fract_x
_atom_site_fract_y
_atom_site_fract_z
Pr1 0.000 0.000 0.104
Nd1 0.333 0.667 0.558
O1 0.667 0.333 0.338
```

Computed properties:
- space-group type = P3m1



*b*
PrNdO | PBE | relaxed

The structure in CIF format:
```
data_PrNdO
_cell_length_a 3.865
_cell_length_b 9.644
_cell_length_c 9.644
_cell_angle_alpha 90.00
_cell_angle_beta 90.00
_cell_angle_gamma 90.00
_space_group_name_H-M_alt 'P 1'
_space_group_IT_number 1
loop_
_space_group_symop_operation_xyz
'x,y,z'
loop_
_atom_site_label
_atom_site_fract_x
_atom_site_fract_y
_atom_site_fract_z
Pr1 0.500 0.938 0.250
Pr2 0.500 0.062 0.750
Pr3 0.000 0.250 0.062
Pr4 0.000 0.750 0.938
Nd1 0.500 0.698 0.568
Nd2 0.000 0.432 0.698
Nd3 0.000 0.568 0.302
Nd4 0.500 0.302 0.432
O1 0.500 0.199 0.944
O2 0.000 0.056 0.199
O3 0.000 0.944 0.801
O4 0.500 0.801 0.056
```

Computed properties:
- space-group type = P4_2/m



Stability ranking, top entry: *a*; the second entry is 15.5 kJ/mol of atoms less favorable.



*a*
Nd2PuO | PBE | relaxed

The structure in CIF format:
```
data_Nd2PuO
_cell_length_a 3.196
_cell_length_b 3.196
_cell_length_c 8.880
_cell_angle_alpha 90.00
_cell_angle_beta 90.00
_cell_angle_gamma 90.00
_space_group_name_H-M_alt 'P 1'
_space_group_IT_number 1
loop_
_space_group_symop_operation_xyz
'x,y,z'
loop_
_atom_site_label
_atom_site_fract_x
_atom_site_fract_y
_atom_site_fract_z
Nd1 0.000 0.000 0.822
Nd2 0.000 0.000 0.178
O1 0.500 0.500 0.000
Pu1 0.500 0.500 0.500
```

Computed properties:
- space-group type = P4/mmm



*b*
Nd2PuO | PBE | relaxed

The structure in CIF format:
```
data_Nd2PuO
_cell_length_a 3.569
_cell_length_b 3.569
_cell_length_c 9.701
_cell_angle_alpha 79.40
_cell_angle_beta 79.40
_cell_angle_gamma 60.00
_space_group_name_H-M_alt 'P 1'
_space_group_IT_number 1
loop_
_space_group_symop_operation_xyz
'x,y,z'
loop_
_atom_site_label
_atom_site_fract_x
_atom_site_fract_y
_atom_site_fract_z
Nd1 0.117 0.117 0.649
Nd2 0.883 0.883 0.351
O1 0.500 0.500 0.500
Pu1 0.000 0.000 0.000
```

Computed properties:
- space-group type = R-3m



Stability ranking, top entry: *b*; the second entry is 25.6 kJ/mol of atoms less favorable.



*a*
Rb3NdO3 | PBE | relaxed

The structure in CIF format:
```
data_Rb3NdO3
_cell_length_a 7.991
_cell_length_b 7.991
_cell_length_c 7.935
_cell_angle_alpha 119.80
_cell_angle_beta 119.80
_cell_angle_gamma 53.56
_space_group_name_H-M_alt 'P 1'
_space_group_IT_number 1
loop_
_space_group_symop_operation_xyz
'x,y,z'
loop_
_atom_site_label
_atom_site_fract_x
_atom_site_fract_y
_atom_site_fract_z
Rb1 0.221 0.221 0.471
Rb2 0.257 0.743 0.500
Rb3 0.743 0.257 0.500
Rb4 0.257 0.743 0.000
Rb5 0.743 0.257 0.000
Rb6 0.779 0.779 0.529
Nd1 0.213 0.213 0.963
Nd2 0.787 0.787 0.037
O1 0.024 0.024 0.774
O2 0.500 0.000 0.196
O3 0.000 0.500 0.196
O4 0.500 0.000 0.804
O5 0.000 0.500 0.804
O6 0.976 0.976 0.226
```

Computed properties:
- space-group type = Imma



*b*
Rb3NdO3 | PBE | relaxed

The structure in CIF format:
```
data_Rb3NdO3
_cell_length_a 7.493
_cell_length_b 7.493
_cell_length_c 7.448
_cell_angle_alpha 93.96
_cell_angle_beta 93.96
_cell_angle_gamma 116.91
_space_group_name_H-M_alt 'P 1'
_space_group_IT_number 1
loop_
_space_group_symop_operation_xyz
'x,y,z'
loop_
_atom_site_label
_atom_site_fract_x
_atom_site_fract_y
_atom_site_fract_z
Rb1 0.641 0.641 0.361
Rb2 0.214 0.786 0.500
Rb3 0.786 0.214 0.500
Rb4 0.258 0.742 0.000
Rb5 0.742 0.258 0.000
Rb6 0.359 0.359 0.639
Nd1 0.815 0.815 0.850
Nd2 0.185 0.185 0.150
O1 0.895 0.895 0.160
O2 0.820 0.538 0.733
O3 0.538 0.820 0.733
O4 0.180 0.462 0.267
O5 0.462 0.180 0.267
O6 0.105 0.105 0.840
```

Computed properties:
- space-group type = C2/m



Stability ranking, top entry: *a*; the second entry is 2.2 kJ/mol of atoms less favorable.



*a*
NdReO5 | PBE | relaxed

The structure in CIF format:
```
data_NdReO5
_cell_length_a 5.621
_cell_length_b 5.621
_cell_length_c 8.696
_cell_angle_alpha 67.61
_cell_angle_beta 67.61
_cell_angle_gamma 76.50
_space_group_name_H-M_alt 'P 1'
_space_group_IT_number 1
loop_
_space_group_symop_operation_xyz
'x,y,z'
loop_
_atom_site_label
_atom_site_fract_x
_atom_site_fract_y
_atom_site_fract_z
Nd1 0.559 0.438 0.287
Nd2 0.438 0.559 0.787
Re1 0.884 0.110 0.948
Re2 0.110 0.884 0.448
O1 0.763 0.189 0.770
O2 0.189 0.763 0.270
O3 0.853 0.741 0.638
O4 0.080 0.315 0.958
O5 0.169 0.910 0.861
O6 0.362 0.589 0.532
O7 0.589 0.362 0.032
O8 0.910 0.169 0.361
O9 0.741 0.853 0.138
O10 0.315 0.080 0.458
```

Computed properties:
- space-group type = Cc



*b*
NdReO5 | PBE | relaxed

The structure in CIF format:
```
data_NdReO5
_cell_length_a 5.647
_cell_length_b 5.647
_cell_length_c 7.655
_cell_angle_alpha 70.20
_cell_angle_beta 70.20
_cell_angle_gamma 71.00
_space_group_name_H-M_alt 'P 1'
_space_group_IT_number 1
loop_
_space_group_symop_operation_xyz
'x,y,z'
loop_
_atom_site_label
_atom_site_fract_x
_atom_site_fract_y
_atom_site_fract_z
Nd1 0.554 0.446 0.250
Nd2 0.446 0.554 0.750
Re1 0.000 0.000 0.000
Re2 0.000 0.000 0.500
O1 0.795 0.766 0.112
O2 0.274 0.706 0.465
O3 0.766 0.795 0.612
O4 0.935 0.065 0.250
O5 0.294 0.726 0.035
O6 0.706 0.274 0.965
O7 0.065 0.935 0.750
O8 0.234 0.205 0.388
O9 0.726 0.294 0.535
O10 0.205 0.234 0.888
```

Computed properties:
- space-group type = C2/c



Stability ranking, top entry: *a*; the second entry is 2.7 kJ/mol of atoms less favorable.



*a*
Nd2RhO | PBE | relaxed

The structure in CIF format:
```
data_Nd2RhO
_cell_length_a 3.689
_cell_length_b 3.689
_cell_length_c 7.414
_cell_angle_alpha 75.60
_cell_angle_beta 75.60
_cell_angle_gamma 60.00
_space_group_name_H-M_alt 'P 1'
_space_group_IT_number 1
loop_
_space_group_symop_operation_xyz
'x,y,z'
loop_
_atom_site_label
_atom_site_fract_x
_atom_site_fract_y
_atom_site_fract_z
Nd1 0.091 0.091 0.727
Nd2 0.247 0.247 0.260
Rh1 0.668 0.668 0.997
O1 0.495 0.495 0.515
```

Computed properties:
- space-group type = R3m



*b*
Nd2RhO | PBE | relaxed

The structure in CIF format:
```
data_Nd2RhO
_cell_length_a 3.783
_cell_length_b 3.783
_cell_length_c 7.067
_cell_angle_alpha 74.48
_cell_angle_beta 74.48
_cell_angle_gamma 60.00
_space_group_name_H-M_alt 'P 1'
_space_group_IT_number 1
loop_
_space_group_symop_operation_xyz
'x,y,z'
loop_
_atom_site_label
_atom_site_fract_x
_atom_site_fract_y
_atom_site_fract_z
Rh1 0.500 0.500 0.500
Nd1 0.741 0.741 0.776
Nd2 0.259 0.259 0.224
O1 0.000 0.000 0.000
```

Computed properties:
- space-group type = R-3m



Stability ranking, top entry: *b*; the second entry is 12.9 kJ/mol of atoms less favorable.



*a*
NdRuO4 | PBE | relaxed

The structure in CIF format:
```
data_NdRuO4
_cell_length_a 5.322
_cell_length_b 5.322
_cell_length_c 6.939
_cell_angle_alpha 112.55
_cell_angle_beta 112.55
_cell_angle_gamma 90.00
_space_group_name_H-M_alt 'P 1'
_space_group_IT_number 1
loop_
_space_group_symop_operation_xyz
'x,y,z'
loop_
_atom_site_label
_atom_site_fract_x
_atom_site_fract_y
_atom_site_fract_z
Nd1 0.000 0.000 0.000
Nd2 0.750 0.250 0.500
Ru1 0.500 0.500 0.000
Ru2 0.250 0.750 0.500
O1 0.012 0.925 0.338
O2 0.163 0.262 0.838
O3 0.675 0.576 0.838
O4 0.326 0.413 0.338
O5 0.424 0.837 0.162
O6 0.075 0.674 0.662
O7 0.587 0.988 0.662
O8 0.738 0.325 0.162
```

Computed properties:
- space-group type = I4_1/a



*b*
NdRuO4 | PBE | relaxed

The structure in CIF format:
```
data_NdRuO4
_cell_length_a 5.487
_cell_length_b 7.693
_cell_length_c 7.565
_cell_angle_alpha 101.01
_cell_angle_beta 90.00
_cell_angle_gamma 90.00
_space_group_name_H-M_alt 'P 1'
_space_group_IT_number 1
loop_
_space_group_symop_operation_xyz
'x,y,z'
loop_
_atom_site_label
_atom_site_fract_x
_atom_site_fract_y
_atom_site_fract_z
Nd1 0.718 0.347 0.599
Nd2 0.782 0.347 0.099
Nd3 0.218 0.653 0.901
Nd4 0.282 0.653 0.401
Ru1 0.231 0.158 0.794
Ru2 0.269 0.158 0.294
Ru3 0.731 0.842 0.706
Ru4 0.769 0.842 0.206
O1 0.928 0.047 0.699
O2 0.572 0.047 0.199
O3 0.354 0.163 0.548
O4 0.146 0.163 0.048
O5 0.496 0.322 0.871
O6 0.020 0.382 0.826
O7 0.004 0.322 0.371
O8 0.480 0.382 0.326
O9 0.520 0.618 0.674
O10 0.996 0.678 0.629
O11 0.980 0.618 0.174
O12 0.504 0.678 0.129
O13 0.854 0.837 0.952
O14 0.646 0.837 0.452
O15 0.428 0.953 0.801
O16 0.072 0.953 0.301
```

Computed properties:
- space-group type = P2_1/c



Stability ranking, top entry: *b*; the second entry is 9.4 kJ/mol of atoms less favorable.